Below is a relaxed CeGa2Br6 crystal, with properties calculated at the PBE-GGA level.

Properties
- uncorrected formation energy (kcal/mol of atoms) = -26.2
- SG = No. 136
- N(E_F) (states/eV/atom) = 0.056
- polymorph energy (0 for the lowest one) (meV/atom) = 0.0
- crystal system = tetragonal

```
data_CeGa2Br6
_chemical_formula_sum 'Ce2 Ga4 Br12'
_cell_length_a 7.076
_cell_length_b 7.076
_cell_length_c 13.279
_cell_angle_alpha 90.00
_cell_angle_beta 90.00
_cell_angle_gamma 90.00
_symmetry_space_group_name_H-M 'P 1'
_symmetry_Int_Tables_number 1
_symmetry_space_group_name_Hall 'P 1'
loop_
_atom_site_label
_atom_site_type_symbol
_atom_site_fract_x
_atom_site_fract_y
_atom_site_fract_z
_atom_site_occupancy
Ce1 Ce 0.000 0.000 0.000 1
Ce2 Ce 0.500 0.500 0.500 1
Ga1 Ga 0.000 0.000 0.331 1
Ga2 Ga 0.000 0.000 0.669 1
Ga3 Ga 0.500 0.500 0.169 1
Ga4 Ga 0.500 0.500 0.831 1
Br1 Br 0.190 0.190 0.158 1
Br2 Br 0.190 0.190 0.842 1
Br3 Br 0.220 0.220 0.500 1
Br4 Br 0.280 0.720 0.000 1
Br5 Br 0.310 0.690 0.342 1
Br6 Br 0.310 0.690 0.658 1
Br7 Br 0.690 0.310 0.342 1
Br8 Br 0.690 0.310 0.658 1
Br9 Br 0.720 0.280 0.000 1
Br10 Br 0.780 0.780 0.500 1
Br11 Br 0.810 0.810 0.158 1
Br12 Br 0.810 0.810 0.842 1
```